Ti6NbRe5 | Alexandria via LeMat-Bulk | PBE | optimized geometry; formation energy from the elements = -0.310 eV per atom; theoretical density = 11.7 Mg/m³
1.0
-4.014 -1.724 0.707
2.116 -5.661 -1.790
3.700 -0.493 5.935
Re Ti Nb
5 6 1
Direct
0.000 0.500 0.000 Re
0.667 0.500 0.333 Re
0.333 0.500 0.667 Re
0.336 0.000 0.672 Re
0.664 0.000 0.328 Re
0.830 0.255 0.659 Ti
0.500 0.259 0.000 Ti
0.500 0.741 0.000 Ti
0.170 0.255 0.341 Ti
0.170 0.745 0.341 Ti
0.830 0.745 0.659 Ti
0.000 0.000 0.000 Nb

***

Ti2NbRe3 | Alexandria via LeMat-Bulk | PBE | optimized geometry; formation energy from the elements = -0.384 eV per atom; theoretical density = 13.3 Mg/m³
1.0
4.445 0.000 0.018
2.223 6.673 0.009
-0.025 0.000 6.307
Nb Re Ti
2 6 4
Direct
0.665 0.670 0.000 Nb
0.335 0.330 0.000 Nb
0.834 0.332 0.253 Re
0.166 0.668 0.747 Re
0.500 0.000 0.747 Re
0.834 0.332 0.747 Re
0.500 0.000 0.253 Re
0.166 0.668 0.253 Re
0.000 0.000 0.500 Ti
0.667 0.667 0.500 Ti
0.333 0.333 0.500 Ti
0.000 0.000 0.000 Ti

***

Ti2NbRe2 | Alexandria via LeMat-Bulk | PBE | optimized geometry; formation energy from the elements = -0.324 eV per atom; theoretical density = 11.7 Mg/m³
1.0
3.139 0.000 -0.420
0.000 4.515 0.000
-0.086 0.000 11.277
Ti Nb Re
4 2 4
Direct
0.048 0.750 0.096 Ti
0.952 0.250 0.904 Ti
0.243 0.750 0.487 Ti
0.757 0.250 0.513 Ti
0.147 0.250 0.293 Nb
0.853 0.750 0.707 Nb
0.650 0.750 0.299 Re
0.451 0.750 0.903 Re
0.549 0.250 0.097 Re
0.350 0.250 0.701 Re

***

TiNb2Re3 | Alexandria via LeMat-Bulk | PBE | optimized geometry; formation energy from the elements = -0.346 eV per atom; theoretical density = 13.7 Mg/m³
1.0
-0.931 0.404 3.013
-1.758 -2.643 -0.189
7.425 -5.150 2.986
Nb Re Ti
2 3 1
Direct
0.500 0.500 0.830 Nb
0.500 0.500 0.170 Nb
0.000 0.000 0.663 Re
0.000 0.000 0.000 Re
0.000 0.000 0.337 Re
0.500 0.500 0.500 Ti

***

TiNb2Re | Alexandria via LeMat-Bulk | PBE | optimized geometry; formation energy from the elements = -0.165 eV per atom; theoretical density = 10.4 Mg/m³
1.0
-1.509 1.890 2.126
2.941 -1.292 3.237
2.753 3.459 -1.121
Nb Ti Re
2 1 1
Direct
0.000 0.500 0.000 Nb
0.000 0.000 0.500 Nb
0.500 0.000 0.000 Ti
0.500 0.500 0.500 Re

***

TiNb3Re | Alexandria via LeMat-Bulk | PBE | optimized geometry; formation energy from the elements = 1.161 eV per atom; theoretical density = 7.5 Mg/m³
1.0
-4.157 0.289 2.471
2.230 -1.700 3.950
1.103 4.527 1.326
Nb Ti Re
3 1 1
Direct
0.000 0.500 0.000 Nb
0.000 0.000 0.500 Nb
0.500 0.000 0.000 Nb
0.500 0.500 0.500 Ti
0.000 0.000 0.000 Re

***

TiNb3Re | Alexandria via LeMat-Bulk | PBE | optimized geometry; formation energy from the elements = -0.158 eV per atom; theoretical density = 10.0 Mg/m³
1.0
4.313 -0.593 1.336
0.571 4.566 0.184
-0.216 -0.312 8.432
Re Nb Ti
2 6 2
Direct
0.054 0.844 0.611 Re
0.357 0.344 0.003 Re
0.456 0.844 0.806 Nb
0.757 0.344 0.205 Nb
0.955 0.344 0.808 Nb
0.259 0.844 0.200 Nb
0.152 0.344 0.414 Nb
0.654 0.844 0.410 Nb
0.557 0.344 0.605 Ti
0.854 0.844 0.009 Ti

***

Ti3NbRe4 | Alexandria via LeMat-Bulk | PBE | optimized geometry; formation energy from the elements = -0.388 eV per atom; theoretical density = 13.2 Mg/m³
1.0
-2.987 0.621 -0.791
-1.334 -3.616 2.198
-0.948 4.822 7.359
Re Ti Nb
4 3 1
Direct
0.000 0.500 0.253 Re
0.000 0.500 0.747 Re
0.000 0.000 0.500 Re
0.000 0.000 0.000 Re
0.500 0.000 0.746 Ti
0.500 0.000 0.254 Ti
0.500 0.500 0.500 Ti
0.500 0.500 0.000 Nb

***

TiNb6Re5 | Alexandria via LeMat-Bulk | PBE | optimized geometry; formation energy from the elements = -0.272 eV per atom; theoretical density = 12.8 Mg/m³
1.0
4.453 0.002 -0.928
-0.003 6.418 -0.001
-0.834 0.000 7.124
Re Nb Ti
5 6 1
Direct
0.000 0.500 0.000 Re
0.332 0.500 0.665 Re
0.665 0.000 0.330 Re
0.668 0.500 0.335 Re
0.335 0.000 0.670 Re
0.500 0.251 0.000 Nb
0.500 0.749 0.000 Nb
0.832 0.251 0.664 Nb
0.832 0.749 0.664 Nb
0.168 0.251 0.336 Nb
0.168 0.749 0.336 Nb
0.000 0.000 0.000 Ti

***

TiNb2Re | Alexandria via LeMat-Bulk | PBE | optimized geometry; formation energy from the elements = 0.544 eV per atom; theoretical density = 9.6 Mg/m³
1.0
4.490 -1.736 -3.540
-1.055 4.697 3.540
-2.875 -0.138 5.236
Nb Ti Re
2 1 1
Direct
0.000 0.743 0.743 Nb
0.000 0.257 0.257 Nb
0.000 0.000 0.000 Ti
0.000 0.500 0.500 Re

***

Ti2Nb2Re | Alexandria via LeMat-Bulk | PBE | optimized geometry; formation energy from the elements = 0.737 eV per atom; theoretical density = 8.7 Mg/m³
1.0
3.742 0.000 0.000
0.000 3.742 0.000
1.871 1.871 6.363
Nb Ti Re
2 2 1
Direct
0.250 0.750 0.500 Nb
0.750 0.250 0.500 Nb
0.415 0.415 0.169 Ti
0.585 0.585 0.831 Ti
0.000 0.000 0.000 Re

***

TiNb4Re | Alexandria via LeMat-Bulk | PBE | optimized geometry; formation energy from the elements = -0.090 eV per atom; theoretical density = 9.7 Mg/m³
1.0
-0.332 3.207 0.202
-3.187 -0.302 -0.437
-1.282 -0.752 9.856
Nb Re Ti
4 1 1
Direct
0.500 0.500 0.840 Nb
0.500 0.500 0.160 Nb
0.000 0.000 0.332 Nb
0.000 0.000 0.668 Nb
0.000 0.000 0.000 Re
0.500 0.500 0.500 Ti

***

Result set for magnetic moment: 0.000 0.000 0.000 0.000 0.000 0.000 0.000 0.000 0.000 0.000 0.000 0.000 μB/atom, one per record in the order listed.